! K2Ni2IrO6, optimized geometry, DFT GGA+U; values from VASP
&SYSTEM
  ibrav = 0, nat = 11, ntyp = 4
/
ATOMIC_SPECIES
O 16.00 O.upf
Ni 58.69 Ni.upf
Ir 192.22 Ir.upf
K 39.10 K.upf
CELL_PARAMETERS angstrom
5.317 0.007 0.023
-2.622 4.625 0.023
-0.990 -1.701 6.101
ATOMIC_POSITIONS angstrom
O 0.359 0.618 2.033
O 3.041 2.328 2.057
O 1.346 2.313 4.114
O -1.336 0.603 4.090
O 0.521 3.794 2.057
O 1.184 -0.863 4.090
Ni 2.163 0.703 3.074
Ni -0.458 2.228 3.074
Ir -0.495 -0.851 3.051
K 3.950 0.802 0.023
K -1.255 3.830 0.023
! Calculated volume (A^3/atom): 13.69
! Density (g/cm3): 5.336
! Raw total energy (eV/cell): -57.93